{
  "formula": "Ti2ZnCu2",
  "functional": "SCAN",
  "state": "PBEsol geometry",
  "final_energy_ev_per_cell": -153.5,
  "density_g_cm3": 6.77,
  "total_magnetization_mub_per_fu": 0.000,
  "e_form_ev_per_atom": -0.1567,
  "cell": [[6.6464, 0.0000, 0.0000], [0.0000, 6.6464, 0.0000], [0.0000, 0.0000, 3.2025]],
  "species": ["Ti", "Ti", "Ti", "Ti", "Zn", "Zn", "Cu", "Cu", "Cu", "Cu"],
  "fractional_positions": [[0.1700, 0.3300, 0.0000], [0.3300, 0.8300, 0.0000], [0.6700, 0.1700, 0.0000], [0.8300, 0.6700, 0.0000], [0.0000, 0.0000, 0.5000], [0.5000, 0.5000, 0.5000], [0.1283, 0.6283, 0.5000], [0.3717, 0.1283, 0.5000], [0.6283, 0.8717, 0.5000], [0.8717, 0.3717, 0.5000]]
}